No. 1
Dy2HoEr3Se6 after structural relaxation. Source: Alexandria via LeMat-Bulk, functional PBE-GGA.

Results
**Symmetry**: C2/m (12)
**Energy relative to the elements, uncorrected**: -1.72 eV/atom
**Size of the total moment**: 0.0000 μB per atom

Unit cell a=4.0425 b=8.1338 c=9.0589 alpha=103.26 beta=102.89 gamma=90.00
Closest atoms and distances in Å follow each position.
Atoms (fractional coordinates):
Dy: 0.8331 0.6662 0.6661  6 Se 2.87-2.89
Dy: 0.1669 0.3338 0.3339  6 Se 2.87-2.89
Ho: 0.5000 0.0000 0.0000  6 Se 2.86-2.87
Er: 0.5000 0.5000 0.0000  6 Se 2.84-2.86
Er: 0.8329 0.1671 0.6658  6 Se 2.85-2.86
Er: 0.1671 0.8329 0.3342  6 Se 2.85-2.86
Se: 0.3332 0.9194 0.6663  3 Er 2.85-2.86, 1 Ho 2.86, 2 Dy 2.89
Se: 0.6657 0.5853 0.3314  3 Er 2.84-2.85, 3 Dy 2.87-2.88
Se: 0.6668 0.0806 0.3337  3 Er 2.85-2.86, 1 Ho 2.86, 2 Dy 2.89
Se: 0.9991 0.2507 0.9981  3 Er 2.85-2.86, 2 Ho 2.87, 1 Dy 2.88
Se: 0.0009 0.7493 0.0019  3 Er 2.85-2.86, 2 Ho 2.87, 1 Dy 2.88
Se: 0.3343 0.4147 0.6686  3 Er 2.84-2.85, 3 Dy 2.87-2.88



No. 2
Dy2HoErSe5 after structural relaxation. Source: Alexandria via LeMat-Bulk, functional PBE-GGA.

Results
**Symmetry**: P4/mmm (123)
**Energy relative to the elements, uncorrected**: -1.12 eV/atom
**Size of the total moment**: 0.0121 μB per atom

Unit cell a=5.1106 b=5.1106 c=10.6614 alpha=90.00 beta=90.00 gamma=90.00
Closest atoms and distances in Å follow each position.
Atoms (fractional coordinates):
Dy: 0.5000 0.5000 0.3382  4 Se 3.08, 1 Dy 3.45
Dy: 0.5000 0.5000 0.6618  4 Se 3.08, 1 Dy 3.45
Ho: 0.0000 0.0000 0.0000  2 Se 2.63
Er: 0.0000 0.0000 0.5000  6 Se 2.56-2.70
Se: 0.0000 0.5000 0.5000  2 Er 2.56
Se: 0.5000 0.0000 0.5000  2 Er 2.56
Se: 0.0000 0.0000 0.7535  1 Ho 2.63, 1 Er 2.70
Se: 0.0000 0.0000 0.2465  1 Ho 2.63, 1 Er 2.70
Se: 0.5000 0.5000 0.0000  2 Dy 3.61, 4 Ho 3.61



No. 3
DyHo2Er3Se6 after structural relaxation. Source: Alexandria via LeMat-Bulk, functional PBE-GGA.

Results
**Symmetry**: C2/m (12)
**Energy relative to the elements, uncorrected**: -1.71 eV/atom
**Size of the total moment**: 0.0000 μB per atom

Unit cell a=4.0387 b=8.1274 c=9.0538 alpha=103.32 beta=102.89 gamma=90.00
Closest atoms and distances in Å follow each position.
Atoms (fractional coordinates):
Dy: 0.5000 0.0000 0.0000  6 Se 2.88
Ho: 0.8337 0.6670 0.6674  6 Se 2.86-2.87
Ho: 0.1663 0.3330 0.3326  6 Se 2.86-2.87
Er: 0.5000 0.5000 0.0000  6 Se 2.85
Er: 0.8339 0.1665 0.6679  6 Se 2.84-2.86
Er: 0.1661 0.8335 0.3321  6 Se 2.84-2.86
Se: 0.3322 0.9171 0.6644  3 Er 2.85-2.86, 2 Ho 2.87, 1 Dy 2.88
Se: 0.6664 0.5846 0.3329  3 Er 2.85-2.86, 3 Ho 2.87
Se: 0.6678 0.0829 0.3356  3 Er 2.85-2.86, 2 Ho 2.87, 1 Dy 2.88
Se: 0.9997 0.2524 0.9995  3 Er 2.84-2.85, 1 Ho 2.86, 2 Dy 2.88
Se: 0.0003 0.7476 0.0005  3 Er 2.84-2.85, 1 Ho 2.86, 2 Dy 2.88
Se: 0.3336 0.4154 0.6671  3 Er 2.85-2.86, 3 Ho 2.87



No. 4
Dy2HoErSe6 after structural relaxation. Source: Alexandria via LeMat-Bulk, functional PBE-GGA.

Results
**Symmetry**: R3 (146)
**Energy relative to the elements, uncorrected**: -1.85 eV/atom
**Size of the total moment**: 0.0000 μB per atom

Unit cell a=7.1783 b=7.1783 c=7.6810 alpha=62.14 beta=62.14 gamma=60.00
Closest atoms and distances in Å follow each position.
Atoms (fractional coordinates):
Dy: 0.5144 0.5144 0.4569  6 Se 2.84-2.91
Dy: 0.0145 0.0145 0.9566  6 Se 2.84-2.91
Ho: 0.3188 0.3187 0.0437  6 Se 2.83-2.89
Er: 0.8190 0.8190 0.5430  6 Se 2.82-2.88
Se: 0.6095 0.2189 0.2529  1 Ho 2.83, 2 Dy 2.84-2.91, 1 Er 2.88
Se: 0.2189 0.9187 0.2528  1 Ho 2.83, 2 Dy 2.84-2.91, 1 Er 2.88
Se: 0.9188 0.6095 0.2529  1 Ho 2.83, 2 Dy 2.84-2.91, 1 Er 2.88
Se: 0.4198 0.7198 0.7521  1 Er 2.82, 2 Dy 2.84-2.91, 1 Ho 2.89
Se: 0.7198 0.1082 0.7521  1 Er 2.82, 2 Dy 2.84-2.91, 1 Ho 2.89
Se: 0.1082 0.4199 0.7521  1 Er 2.82, 2 Dy 2.84-2.91, 1 Ho 2.89



No. 5
Dy4Ho3ErSe8 after structural relaxation. Source: Alexandria via LeMat-Bulk, functional PBE-GGA.

Results
**Symmetry**: R-3m (166)
**Energy relative to the elements, uncorrected**: -1.73 eV/atom
**Size of the total moment**: 0.0000 μB per atom

Unit cell a=8.1175 b=8.1363 c=8.1188 alpha=119.94 beta=119.99 gamma=90.00
Closest atoms and distances in Å follow each position.
Atoms (fractional coordinates):
Dy: 0.5000 0.0000 0.0000  6 Se 2.89
Dy: 0.5000 0.0000 0.5000  6 Se 2.88
Dy: 0.0000 0.0000 0.0000  6 Se 2.88
Dy: 0.0000 0.0000 0.5000  6 Se 2.88
Ho: 0.5000 0.5000 0.0000  6 Se 2.87
Ho: 0.5000 0.5000 0.5000  6 Se 2.87
Ho: 0.0000 0.5000 0.5000  6 Se 2.87
Er: 0.0000 0.5000 0.0000  6 Se 2.86
Se: 0.2486 0.7473 0.9987  1 Er 2.86, 2 Ho 2.87, 3 Dy 2.88-2.89
Se: 0.2487 0.7473 0.4973  1 Er 2.86, 2 Ho 2.87, 3 Dy 2.88-2.89
Se: 0.2507 0.2520 0.5014  3 Ho 2.87, 3 Dy 2.88
Se: 0.7500 0.7473 0.9987  1 Er 2.86, 2 Ho 2.87, 3 Dy 2.88-2.89
Se: 0.2500 0.2527 0.0013  1 Er 2.86, 2 Ho 2.87, 3 Dy 2.88-2.89
Se: 0.7493 0.7480 0.4986  3 Ho 2.87, 3 Dy 2.88
Se: 0.7513 0.2527 0.5027  1 Er 2.86, 2 Ho 2.87, 3 Dy 2.88-2.89
Se: 0.7514 0.2527 0.0013  1 Er 2.86, 2 Ho 2.87, 3 Dy 2.88-2.89



No. 6
DyHo4ErSe8 after structural relaxation. Source: Alexandria via LeMat-Bulk, functional PBE-GGA.

Results
**Symmetry**: R3m (160)
**Energy relative to the elements, uncorrected**: -1.70 eV/atom
**Size of the total moment**: 0.0001 μB per atom

Unit cell a=8.3785 b=8.3785 c=8.3762 alpha=59.99 beta=59.99 gamma=60.00
Closest atoms and distances in Å follow each position.
Atoms (fractional coordinates):
Dy: 0.3751 0.3751 0.8748  4 Se 2.73
Ho: 0.6248 0.6248 0.1256  4 Se 2.72
Ho: 0.9998 0.5004 0.4999  6 Se 2.87-2.88
Ho: 0.5004 0.9998 0.4999  6 Se 2.87-2.88
Ho: 0.9998 0.9998 0.4999  6 Se 2.87-2.88
Er: 0.0000 0.0000 0.0001  6 Se 2.86-2.87
Se: 0.2414 0.7741 0.7432  1 Dy 2.73, 1 Er 2.86, 2 Ho 2.88
Se: 0.7741 0.2414 0.7432  1 Dy 2.73, 1 Er 2.86, 2 Ho 2.88
Se: 0.2414 0.2414 0.7432  1 Dy 2.73, 1 Er 2.86, 2 Ho 2.88
Se: 0.2422 0.2422 0.2733  1 Dy 2.73, 3 Ho 2.87
Se: 0.7583 0.2272 0.2562  3 Ho 2.72-2.88, 1 Er 2.87
Se: 0.2272 0.7583 0.2562  3 Ho 2.72-2.88, 1 Er 2.87
Se: 0.7583 0.7583 0.2562  3 Ho 2.72-2.88, 1 Er 2.87
Se: 0.7572 0.7572 0.7285  4 Ho 2.72-2.88



No. 7
Dy2HoErSe4 after structural relaxation. Source: Alexandria via LeMat-Bulk, functional PBE-GGA.

Results
**Symmetry**: P2/m (10)
**Energy relative to the elements, uncorrected**: -1.73 eV/atom
**Size of the total moment**: 0.0000 μB per atom

Unit cell a=4.0089 b=7.0614 c=7.0639 alpha=71.16 beta=90.00 gamma=90.00
Closest atoms and distances in Å follow each position.
Atoms (fractional coordinates):
Dy: 0.0000 0.0000 0.0000  6 Se 2.89
Dy: 0.5000 0.0000 0.5000  6 Se 2.88
Ho: 0.5000 0.5000 0.0000  6 Se 2.86
Er: 0.0000 0.5000 0.5000  6 Se 2.86
Se: 0.0000 0.7475 0.7500  1 Er 2.86, 2 Ho 2.86, 3 Dy 2.88-2.89
Se: 0.0000 0.2525 0.2500  1 Er 2.86, 2 Ho 2.86, 3 Dy 2.88-2.89
Se: 0.5000 0.7469 0.2519  2 Er 2.86, 1 Ho 2.86, 3 Dy 2.88-2.89
Se: 0.5000 0.2531 0.7481  2 Er 2.86, 1 Ho 2.86, 3 Dy 2.88-2.89



No. 8
Dy3Ho3ErSe8 after structural relaxation. Source: Alexandria via LeMat-Bulk, functional PBE-GGA.

Results
**Symmetry**: R-3m (166)
**Energy relative to the elements, uncorrected**: -1.82 eV/atom
**Size of the total moment**: 0.0000 μB per atom

Unit cell a=8.0976 b=8.0974 c=8.1020 alpha=119.98 beta=90.00 gamma=120.00
Closest atoms and distances in Å follow each position.
Atoms (fractional coordinates):
Dy: 0.0000 0.0000 0.0000  6 Se 2.87
Dy: 0.0000 0.5000 0.0000  6 Se 2.87
Dy: 0.5000 0.5000 0.0000  6 Se 2.87
Ho: 0.5000 0.0000 0.5000  6 Se 2.86
Ho: 0.5000 0.5000 0.5000  6 Se 2.86
Ho: 0.0000 0.5000 0.5000  6 Se 2.86
Er: 0.0000 0.0000 0.5000  6 Se 2.89
Se: 0.2506 0.5011 0.2517  3 Ho 2.86, 3 Dy 2.87
Se: 0.7494 0.4989 0.7483  3 Ho 2.86, 3 Dy 2.87
Se: 0.7478 0.4957 0.2490  2 Ho 2.86, 2 Dy 2.87, 1 Er 2.89
Se: 0.2522 0.5043 0.7510  2 Ho 2.86, 2 Dy 2.87, 1 Er 2.89
Se: 0.7478 0.0011 0.2490  2 Ho 2.86, 2 Dy 2.87, 1 Er 2.89
Se: 0.2522 0.9989 0.7510  2 Ho 2.86, 2 Dy 2.87, 1 Er 2.89
Se: 0.2533 0.0011 0.2490  2 Ho 2.86, 2 Dy 2.87, 1 Er 2.89
Se: 0.7467 0.9989 0.7510  2 Ho 2.86, 2 Dy 2.87, 1 Er 2.89



No. 9
DyHo2ErSe6 after structural relaxation. Source: Alexandria via LeMat-Bulk, functional PBE-GGA.

Results
**Symmetry**: R3 (146)
**Energy relative to the elements, uncorrected**: -1.85 eV/atom
**Size of the total moment**: 0.0000 μB per atom

Unit cell a=7.1694 b=7.1694 c=7.6744 alpha=62.16 beta=62.16 gamma=60.00
Closest atoms and distances in Å follow each position.
Atoms (fractional coordinates):
Dy: 0.8180 0.8181 0.5458  6 Se 2.84-2.91
Ho: 0.5141 0.5141 0.4576  6 Se 2.83-2.89
Ho: 0.0135 0.0135 0.9595  6 Se 2.83-2.90
Er: 0.3189 0.3189 0.0433  6 Se 2.82-2.88
Se: 0.6090 0.2222 0.2511  1 Er 2.82, 2 Ho 2.83-2.89, 1 Dy 2.91
Se: 0.2222 0.9177 0.2511  1 Er 2.82, 2 Ho 2.83-2.89, 1 Dy 2.91
Se: 0.9177 0.6091 0.2511  1 Er 2.82, 2 Ho 2.83-2.90, 1 Dy 2.91
Se: 0.4144 0.7212 0.7519  2 Ho 2.83-2.89, 1 Dy 2.84, 1 Er 2.88
Se: 0.7212 0.1124 0.7519  2 Ho 2.83-2.89, 1 Dy 2.84, 1 Er 2.88
Se: 0.1124 0.4145 0.7519  2 Ho 2.83-2.89, 1 Dy 2.84, 1 Er 2.88



No. 10
DyHo3Er3Se8 after structural relaxation. Source: Alexandria via LeMat-Bulk, functional PBE-GGA.

Results
**Symmetry**: R-3m (166)
**Energy relative to the elements, uncorrected**: -1.81 eV/atom
**Size of the total moment**: 0.0000 μB per atom

Unit cell a=8.0661 b=8.0658 c=8.0695 alpha=119.98 beta=90.00 gamma=120.00
Closest atoms and distances in Å follow each position.
Atoms (fractional coordinates):
Dy: 0.0000 0.0000 0.5000  6 Se 2.91
Ho: 0.0000 0.0000 0.0000  6 Se 2.86
Ho: 0.0000 0.5000 0.0000  6 Se 2.86
Ho: 0.5000 0.5000 0.0000  6 Se 2.86
Er: 0.5000 0.0000 0.5000  6 Se 2.85
Er: 0.5000 0.5000 0.5000  6 Se 2.85
Er: 0.0000 0.5000 0.5000  6 Se 2.85
Se: 0.2506 0.5011 0.2516  3 Er 2.85, 3 Ho 2.86
Se: 0.7494 0.4989 0.7484  3 Er 2.85, 3 Ho 2.86
Se: 0.7453 0.4905 0.2463  2 Er 2.85, 2 Ho 2.86, 1 Dy 2.91
Se: 0.2547 0.5095 0.7537  2 Er 2.85, 2 Ho 2.86, 1 Dy 2.91
Se: 0.7452 0.0011 0.2464  2 Er 2.85, 2 Ho 2.86, 1 Dy 2.91
Se: 0.2548 0.9989 0.7536  2 Er 2.85, 2 Ho 2.86, 1 Dy 2.91
Se: 0.2558 0.0011 0.2464  2 Er 2.85, 2 Ho 2.86, 1 Dy 2.91
Se: 0.7442 0.9989 0.7536  2 Er 2.85, 2 Ho 2.86, 1 Dy 2.91



No. 11
Dy3Ho2ErSe6 after structural relaxation. Source: Alexandria via LeMat-Bulk, functional PBE-GGA.

Results
**Symmetry**: C2/m (12)
**Energy relative to the elements, uncorrected**: -1.73 eV/atom
**Size of the total moment**: 0.0000 μB per atom

Unit cell a=4.0496 b=8.1567 c=9.0797 alpha=103.25 beta=102.89 gamma=90.00
Closest atoms and distances in Å follow each position.
Atoms (fractional coordinates):
Dy: 0.5000 0.5000 0.0000  6 Se 2.87-2.89
Dy: 0.8328 0.1670 0.6656  6 Se 2.88
Dy: 0.1672 0.8330 0.3344  6 Se 2.88
Ho: 0.8330 0.6661 0.6660  6 Se 2.86-2.87
Ho: 0.1670 0.3339 0.3340  6 Se 2.86-2.87
Er: 0.5000 0.0000 0.0000  6 Se 2.85-2.86
Se: 0.3344 0.9161 0.6689  1 Er 2.85, 2 Ho 2.87, 3 Dy 2.88
Se: 0.6669 0.5821 0.3338  3 Ho 2.86, 3 Dy 2.87-2.88
Se: 0.6656 0.0839 0.3311  1 Er 2.85, 2 Ho 2.87, 3 Dy 2.88
Se: 0.0003 0.2475 0.0006  2 Er 2.86, 1 Ho 2.87, 3 Dy 2.88-2.89
Se: 0.9997 0.7525 0.9994  2 Er 2.86, 1 Ho 2.87, 3 Dy 2.88-2.89
Se: 0.3331 0.4179 0.6662  3 Ho 2.86, 3 Dy 2.87-2.88



No. 12
Dy2Ho3ErSe6 after structural relaxation. Source: Alexandria via LeMat-Bulk, functional PBE-GGA.

Results
**Symmetry**: C2/m (12)
**Energy relative to the elements, uncorrected**: -1.73 eV/atom
**Size of the total moment**: 0.0000 μB per atom

Unit cell a=4.0474 b=8.1481 c=9.0698 alpha=103.17 beta=102.89 gamma=90.00
Closest atoms and distances in Å follow each position.
Atoms (fractional coordinates):
Dy: 0.8327 0.6656 0.6654  6 Se 2.87-2.89
Dy: 0.1673 0.3344 0.3346  6 Se 2.87-2.89
Ho: 0.5000 0.5000 0.0000  6 Se 2.85-2.88
Ho: 0.8323 0.1671 0.6645  6 Se 2.86-2.87
Ho: 0.1677 0.8329 0.3355  6 Se 2.86-2.87
Er: 0.5000 0.0000 0.0000  6 Se 2.85-2.86
Se: 0.3343 0.9187 0.6686  1 Er 2.85, 3 Ho 2.86-2.87, 2 Dy 2.88
Se: 0.6659 0.5842 0.3318  3 Ho 2.85-2.86, 3 Dy 2.87
Se: 0.6657 0.0813 0.3314  1 Er 2.85, 3 Ho 2.86-2.87, 2 Dy 2.88
Se: 0.9993 0.2483 0.9987  2 Er 2.86, 3 Ho 2.87-2.88, 1 Dy 2.89
Se: 0.0007 0.7517 0.0013  2 Er 2.86, 3 Ho 2.87-2.88, 1 Dy 2.89
Se: 0.3341 0.4158 0.6682  3 Ho 2.85-2.86, 3 Dy 2.87



Q: The highest size of the total moment belongs to which entry?
A: Dy2HoErSe5



Q: The highest energy relative to the elements, uncorrected belongs to which entry?
A: Dy2HoErSe5